[1]
Ba2MnAl2CuF14 at its PBEsol-relaxed geometry, computed with meta-GGA SCAN.

The structure in POSCAR format:
```
Ba2MnAl2CuF14
1.0
6.837 -2.582 0.000
6.837 2.582 0.000
-0.481 0.000 14.259
Ba Mn Al Cu F
4 2 4 2 28
Direct
0.128 0.250 0.121
0.250 0.128 0.621
0.750 0.872 0.379
0.872 0.750 0.879
0.433 0.567 0.250
0.567 0.433 0.750
0.106 0.132 0.374
0.132 0.106 0.874
0.868 0.894 0.126
0.894 0.868 0.626
0.500 0.500 0.000
0.500 0.500 0.500
0.039 0.642 0.221
0.080 0.914 0.343
0.086 0.920 0.157
0.115 0.721 0.524
0.134 0.598 0.048
0.161 0.328 0.405
0.174 0.597 0.705
0.279 0.885 0.976
0.328 0.161 0.905
0.358 0.961 0.279
0.395 0.492 0.877
0.402 0.866 0.452
0.403 0.826 0.795
0.492 0.395 0.377
0.508 0.605 0.623
0.597 0.174 0.205
0.598 0.134 0.548
0.605 0.508 0.123
0.642 0.039 0.721
0.672 0.839 0.095
0.721 0.115 0.024
0.826 0.403 0.295
0.839 0.672 0.595
0.866 0.402 0.952
0.885 0.279 0.476
0.914 0.080 0.843
0.920 0.086 0.657
0.961 0.358 0.779
```

Summary:
Its raw formation energy is -70.5 eV/f.u. Its crystal system is monoclinic. Its total magnetization is 12.00 μB per cell.

***

[2]
K2BaAlCu at its PBEsol-relaxed geometry, computed with meta-GGA SCAN.

The structure in POSCAR format:
```
K2BaAlCu
1.0
7.249 0.000 0.000
0.000 7.249 0.000
0.000 0.000 5.803
K Ba Al Cu
2 1 1 1
Direct
0.000 0.500 0.000
0.500 0.000 0.000
0.000 0.000 0.000
0.000 0.000 0.500
0.500 0.500 0.500
```

Summary:
As for the formation energy from the elements: 1.25 eV/atom. Its crystal system is tetragonal. Its total magnetization is 0.00 μB per cell.